# 1
The following is a DFT calculation (meta-GGA SCAN) of a crystal of GaTe3F relaxed with PBEsol.

Unit cell a=5.238 b=5.238 c=5.238 alpha=90.00 beta=90.00 gamma=90.00
Fractional coordinates of all 5 atoms:
1 Te 0.000 0.500 0.000
2 Te 0.000 0.000 0.500
3 Te 0.500 0.000 0.000
4 Ga 0.000 0.000 0.000
5 F 0.500 0.500 0.500

Results
Energy relative to the elements, uncorrected = 303 meV/atom
Polymorph energy (0 for the lowest one) = 243.6 meV/atom
Mass density = 5.449 g cm⁻³
Magnetic moment = 0.0 μB/f.u.
Uncorrected energy = -26.0247 eV/atom

# 2
The following is a DFT calculation (meta-GGA SCAN) of a crystal of Li3FeO4 relaxed with PBEsol.

Unit cell a=3.918 b=3.918 c=4.952 alpha=113.30 beta=113.30 gamma=90.00
Last column: magnetic moment on the atom in μB.
Fractional coordinates of all 8 atoms:
1 Fe 0.000 0.000 0.000  2.88
2 O 0.000 0.500 0.000  0.14
3 O 0.786 0.786 0.571  0.30
4 O 0.500 0.000 0.000  0.14
5 O 0.214 0.214 0.429  0.30
6 Li 0.250 0.750 0.500  0.00
7 Li 0.750 0.250 0.500  0.00
8 Li 0.500 0.500 0.000  0.00

Results
Energy relative to the elements, uncorrected = -1792 meV/atom
Polymorph energy (0 for the lowest one) = 135.7 meV/atom
Mass density = 3.708 g cm⁻³
Magnetic moment = 4.0 μB/f.u.
Uncorrected energy = -8.0699 eV/atom

no.,Fermi-level density of states (states/eV per cell)
1,5.7
2,3.3